{"formula": "Dy3Cd3Rh", "functional": "PBE-GGA", "state": "relaxed", "e_tot_ev_per_atom": -3.871, "formation_enthalpy_0k_mev_per_atom": -456, "lattice_angstrom": [[0.000, 7.058, 7.058], [7.058, 0.000, 7.058], [7.058, 7.058, 0.000]], "species": ["Dy", "Dy", "Dy", "Dy", "Dy", "Dy", "Dy", "Dy", "Dy", "Dy", "Dy", "Dy", "Cd", "Cd", "Cd", "Cd", "Cd", "Cd", "Cd", "Cd", "Cd", "Cd", "Cd", "Cd", "Rh", "Rh", "Rh", "Rh"], "frac_coords": [[0.081, 0.081, 0.669], [0.081, 0.669, 0.081], [0.081, 0.669, 0.669], [0.331, 0.331, 0.919], [0.331, 0.919, 0.331], [0.331, 0.919, 0.919], [0.669, 0.081, 0.081], [0.669, 0.081, 0.669], [0.669, 0.669, 0.081], [0.919, 0.331, 0.331], [0.919, 0.331, 0.919], [0.919, 0.919, 0.331], [0.000, 0.500, 0.500], [0.291, 0.291, 0.291], [0.291, 0.291, 0.626], [0.291, 0.626, 0.291], [0.374, 0.709, 0.709], [0.500, 0.000, 0.500], [0.500, 0.500, 0.000], [0.500, 0.500, 0.500], [0.626, 0.291, 0.291], [0.709, 0.374, 0.709], [0.709, 0.709, 0.374], [0.709, 0.709, 0.709], [0.000, 0.000, 0.000], [0.000, 0.000, 0.500], [0.000, 0.500, 0.000], [0.500, 0.000, 0.000]]}